Record 1
GGA-PBE Nd3Sm4Er4, optimized geometry; calculated density = 7814 kg/m3; DOS at the Fermi energy = 13.99 states/eV per cell; ΔE to the lowest computed polymorph = 0 meV per atom
1.0
3.593 -0.002 -0.300
-0.049 5.029 -0.631
-0.071 -0.046 20.041
Sm Er Nd
4 4 3
Cartesian
1.544 2.246 17.768 Sm
2.854 4.077 11.944 Sm
1.930 2.736 1.342 Sm
0.620 0.905 7.166 Sm
0.923 1.342 10.650 Er
0.315 0.443 3.576 Er
3.159 4.539 15.534 Er
2.550 3.640 8.460 Er
1.238 1.796 14.215 Nd
0.000 0.000 0.000 Nd
2.236 3.186 4.895 Nd

Record 2
GGA-PBE NdSm5Er5, optimized geometry; calculated density = 7725 kg/m3; DOS at the Fermi energy = 17.73 states/eV per cell; ΔE to the lowest computed polymorph = 35 meV per atom
1.0
-6.114 -0.280 0.321
2.942 -2.579 -4.717
0.756 -9.818 5.839
Er Sm Nd
5 5 1
Cartesian
-2.974 -2.622 -0.421 Er
0.432 -8.411 0.887 Er
0.000 0.000 0.000 Er
0.171 -5.032 -1.123 Er
-2.460 -9.289 3.544 Er
0.199 -2.580 1.535 Sm
-1.199 -5.442 2.227 Sm
0.557 -7.237 4.304 Sm
-2.755 -6.844 0.071 Sm
-4.198 -5.579 2.385 Sm
-0.077 -1.813 -3.038 Nd

Record 3
GGA-PBE Nd2Sm5Er3, optimized geometry; calculated density = 7244 kg/m3; DOS at the Fermi energy = 28.40 states/eV per cell; ΔE to the lowest computed polymorph = 193 meV per atom
1.0
6.850 0.000 0.000
3.425 11.562 2.881
3.425 5.846 10.383
Er Sm Nd
6 10 4
Cartesian
5.137 0.000 0.000 Er
6.850 9.371 10.128 Er
6.850 8.037 3.136 Er
10.275 12.252 6.347 Er
1.712 0.000 0.000 Er
3.425 5.156 6.917 Er
5.137 8.704 6.632 Sm
6.850 11.429 7.606 Sm
10.275 10.367 9.001 Sm
6.850 5.979 5.658 Sm
8.562 13.078 9.965 Sm
8.562 8.704 6.632 Sm
1.712 4.330 3.299 Sm
11.987 13.078 9.965 Sm
3.425 7.041 4.263 Sm
5.137 4.330 3.299 Sm
6.850 14.697 12.392 Nd
3.425 1.560 2.382 Nd
6.850 2.711 0.872 Nd
10.275 15.848 10.882 Nd

Record 4
GGA-PBE Nd12Sm6Er, optimized geometry; calculated density = 6890 kg/m3; DOS at the Fermi energy = 31.81 states/eV per cell; ΔE to the lowest computed polymorph = 180 meV per atom
1.0
-4.713 8.701 -0.786
-5.824 -7.038 3.884
8.576 0.856 4.925
Nd Er Sm
12 1 6
Cartesian
-1.404 -4.735 5.790 Nd
-6.465 -1.747 3.615 Nd
4.080 -1.728 6.187 Nd
-6.914 1.287 2.692 Nd
4.953 1.232 5.331 Nd
-4.258 -3.817 4.664 Nd
-0.557 7.253 2.233 Nd
4.503 4.266 4.408 Nd
2.297 6.336 3.358 Nd
1.586 -3.731 6.345 Nd
-3.548 6.250 1.677 Nd
-6.041 4.247 1.836 Nd
0.000 0.000 0.000 Er
-1.982 -1.071 3.141 Sm
0.021 3.590 4.882 Sm
-0.256 -0.331 6.045 Sm
-1.705 2.850 1.978 Sm
1.605 0.896 3.401 Sm
-3.566 1.623 4.622 Sm

Record 5
GGA-PBE NdSm8Er4, optimized geometry; E_tot = -58.4 eV for the cell shown; calculated density = 7748 kg/m3; DOS at the Fermi energy = 13.95 states/eV per cell
1.0
-3.710 1.703 -6.086
-0.383 -6.783 2.748
-4.709 3.628 8.299
Er Sm Nd
4 8 1
Cartesian
-0.192 -3.392 1.374 Er
0.000 0.000 0.000 Er
-2.047 -2.540 -1.669 Er
-1.855 0.852 -3.043 Er
-3.347 0.240 0.126 Sm
-6.912 2.809 0.588 Sm
-4.048 -3.080 1.606 Sm
-7.123 -0.927 2.101 Sm
-1.680 -0.525 2.859 Sm
-1.891 -4.261 4.373 Sm
-5.456 -1.692 4.835 Sm
-4.755 1.627 3.354 Sm
-2.546 -1.578 5.523 Nd

Record 6
GGA-PBE Nd3Sm6Er, optimized geometry; calculated density = 7296 kg/m3; DOS at the Fermi energy = 25.92 states/eV per cell; ΔE to the lowest computed polymorph = 0 meV per atom
1.0
-0.612 5.054 -4.005
-10.463 -2.940 -2.111
2.333 6.893 8.343
Nd Sm Er
6 12 2
Cartesian
-5.878 3.775 -0.391 Nd
-8.473 4.470 2.075 Nd
-5.819 9.273 2.492 Nd
-0.530 6.700 -1.563 Nd
-3.184 1.898 -1.979 Nd
-2.652 3.492 3.997 Nd
-2.466 4.542 0.281 Sm
-5.233 5.888 2.402 Sm
-10.231 -0.755 -3.196 Sm
-5.371 3.378 -4.000 Sm
1.351 10.908 4.515 Sm
-3.271 1.162 1.376 Sm
-1.581 7.488 2.860 Sm
-3.513 6.813 5.290 Sm
-7.041 0.530 0.151 Sm
-9.172 5.226 -1.086 Sm
-6.038 2.507 3.497 Sm
0.288 4.964 2.376 Sm
-8.389 2.068 -2.583 Er
-0.190 5.606 5.868 Er

Record 7
GGA-PBE Nd2SmEr, optimized geometry; calculated density = 7436 kg/m3; DOS at the Fermi energy = 7.74 states/eV per cell; ΔE to the lowest computed polymorph = 96 meV per atom
1.0
3.620 0.000 -0.968
-0.584 5.527 -2.183
-0.071 -0.473 6.986
Er Nd Sm
1 2 1
Cartesian
1.522 2.770 -1.561 Er
2.959 5.045 3.814 Nd
2.565 1.196 2.340 Nd
0.401 3.860 1.499 Sm

Record 8
GGA-PBE NdSm8Er2, optimized geometry; calculated density = 7473 kg/m3; DOS at the Fermi energy = 17.89 states/eV per cell; ΔE to the lowest computed polymorph = 27 meV per atom
1.0
6.295 1.823 1.383
2.133 9.667 3.101
2.133 5.589 8.475
Sm Er Nd
8 2 1
Cartesian
6.237 5.227 3.966 Sm
3.969 10.376 5.865 Sm
7.101 10.354 7.856 Sm
3.969 8.443 8.413 Sm
4.324 11.851 8.992 Sm
6.591 6.703 7.093 Sm
6.591 8.636 4.545 Sm
3.459 6.724 5.102 Sm
3.363 3.822 2.900 Er
7.198 13.257 10.059 Er
0.000 0.000 0.000 Nd

Record 9
GGA-PBE Nd4Sm3Er8, optimized geometry; calculated density = 7893 kg/m3; DOS at the Fermi energy = 22.52 states/eV per cell; ΔE to the lowest computed polymorph = 0 meV per atom
1.0
6.137 0.000 3.310
2.176 5.738 3.310
-2.562 -1.768 12.094
Er Nd Sm
8 4 3
Cartesian
0.159 0.110 10.708 Er
2.513 3.860 6.345 Er
3.239 0.110 12.369 Er
4.500 0.981 6.345 Er
1.251 2.989 12.369 Er
4.389 3.030 13.896 Er
5.592 3.860 8.006 Er
1.363 0.941 4.818 Er
2.876 1.985 9.357 Nd
5.492 3.791 4.506 Nd
0.260 0.179 14.208 Nd
0.000 0.000 0.000 Nd
1.788 -0.884 7.702 Sm
-1.281 -0.884 6.047 Sm
-0.193 1.985 7.702 Sm

Record 10
GGA-PBE Nd3SmEr3, optimized geometry; calculated density = 7726 kg/m3; DOS at the Fermi energy = 24.68 states/eV per cell; ΔE to the lowest computed polymorph = 0 meV per atom
1.0
5.767 0.000 0.000
0.000 9.662 0.005
0.000 -4.836 8.367
Nd Sm Er
6 2 6
Cartesian
1.442 5.512 6.340 Nd
1.442 1.419 1.609 Nd
4.326 -0.686 2.031 Nd
4.326 3.408 6.762 Nd
1.442 7.559 0.427 Nd
4.326 -2.733 7.944 Nd
4.326 -0.004 5.579 Sm
1.442 4.830 2.793 Sm
1.442 -0.665 7.568 Er
4.326 5.491 0.804 Er
4.326 6.221 4.363 Er
1.442 -1.395 4.009 Er
1.442 2.052 5.157 Er
4.326 2.774 3.214 Er

Look up the DOS at the Fermi energy of the ninth one.
22.52 states/eV per cell

What is the formula in the ninth record?
Nd4Sm3Er8

Number 4 is which compound?
Nd12Sm6Er